The following is a PBE calculation of Ce3PrHo2S6 after structural relaxation, from Alexandria via LeMat-Bulk.

a b c (Å): 6.904 11.964 6.944
angles (deg): 90.00 109.41 90.00
Space group C2/m (No. 12)
One atom of each set of equivalent atoms:
Ce (0.000, 0.000, 0.000) (multiplicity 2)
Ce (0.000, 0.338, 0.000) (multiplicity 4)
Pr (0.000, 0.500, 0.500) (multiplicity 2)
Ho (0.000, 0.167, 0.500) (multiplicity 4)
S (0.235, 0.000, 0.739) (multiplicity 4)
S (0.246, 0.172, 0.256) (multiplicity 8)

Results
- ρ (g cm⁻³) = 6.652
- total energy (eV per cell) = -161.49
- formation energy without anion corrections (eV/f.u.) = -24.25